Record 1
Here is crystalline TaZnCd2 at its relaxed geometry from Alexandria. Energies are from GGA-PBE.

a = 4.2174 Å, b = 4.2174 Å, c = 8.4810 Å
α = 90.00°, β = 90.00°, γ = 90.00°
Element x y z (fractional)
Ta (0.0000, 0.0000, 0.0000)
Ta (0.5000, 0.5000, 0.5000)
Zn (0.0000, 0.5000, 0.7500)
Zn (0.5000, 0.0000, 0.2500)
Cd (0.0000, 0.0000, 0.5000)
Cd (0.0000, 0.5000, 0.2500)
Cd (0.5000, 0.0000, 0.7500)
Cd (0.5000, 0.5000, 0.0000)

Results
The formation energy comes out at 460 meV/atom. The crystal system is tetragonal. As for the total magnetization: 0.00 μB per formula unit. The energy above the lowest structure with this stoichiometry is 1.30 eV per formula unit.

Record 2
Here is crystalline TaZnCd2 at its relaxed geometry from Alexandria. Energies are from GGA-PBE.

a = 2.9242 Å, b = 4.3594 Å, c = 6.0713 Å
α = 90.00°, β = 103.81°, γ = 90.00°
Element x y z (fractional)
Ta (0.0000, 0.0000, 0.0000)
Zn (0.5894, 0.5000, 0.1812)
Cd (0.3616, 0.5000, 0.7189)
Cd (0.7346, 0.0000, 0.4688)

Results
The formation energy comes out at 225 meV/atom. The crystal system is monoclinic. As for the total magnetization: 0.00 μB per formula unit. The energy above the lowest structure with this stoichiometry is 0.36 eV per formula unit.

Record 3
Here is crystalline Ta2ZnCd at its relaxed geometry from Alexandria. Energies are from GGA-PBE.

a = 3.0473 Å, b = 4.9713 Å, c = 9.4743 Å
α = 90.00°, β = 90.00°, γ = 90.00°
Element x y z (fractional)
Ta (0.0000, 0.0000, 0.0000)
Ta (0.0000, 0.5000, 0.2538)
Ta (0.5000, 0.0000, 0.7538)
Ta (0.5000, 0.5000, 0.5000)
Zn (0.0000, 0.5000, 0.7444)
Zn (0.5000, 0.0000, 0.2444)
Cd (0.0000, 0.0000, 0.4819)
Cd (0.5000, 0.5000, 0.9819)

Results
The formation energy comes out at 267 meV/atom. The crystal system is orthorhombic. As for the total magnetization: 0.00 μB per formula unit. The energy above the lowest structure with this stoichiometry is 0.75 eV per formula unit.

Record 4
Here is crystalline TaZn2Cd at its relaxed geometry from Alexandria. Energies are from GGA-PBE.

a = 6.4755 Å, b = 6.4755 Å, c = 6.4755 Å
α = 90.00°, β = 90.00°, γ = 90.00°
Element x y z (fractional)
Ta (0.0000, 0.0000, 0.0000)
Ta (0.0000, 0.5000, 0.5000)
Ta (0.5000, 0.0000, 0.5000)
Ta (0.5000, 0.5000, 0.0000)
Zn (0.2500, 0.2500, 0.2500)
Zn (0.2500, 0.2500, 0.7500)
Zn (0.2500, 0.7500, 0.2500)
Zn (0.2500, 0.7500, 0.7500)
Zn (0.7500, 0.2500, 0.2500)
Zn (0.7500, 0.2500, 0.7500)
Zn (0.7500, 0.7500, 0.2500)
Zn (0.7500, 0.7500, 0.7500)
Cd (0.0000, 0.0000, 0.5000)
Cd (0.0000, 0.5000, 0.0000)
Cd (0.5000, 0.0000, 0.0000)
Cd (0.5000, 0.5000, 0.5000)

Results
The formation energy comes out at 361 meV/atom. The crystal system is cubic. As for the total magnetization: 0.00 μB per formula unit. The energy above the lowest structure with this stoichiometry is 1.20 eV per formula unit.

Record 5
Here is crystalline Zr2TaCd2 at its relaxed geometry from Alexandria. Energies are from GGA-PBE.

a = 7.9172 Å, b = 7.9172 Å, c = 3.4384 Å
α = 90.00°, β = 90.00°, γ = 90.00°
Element x y z (fractional)
Zr (0.1794, 0.3206, 0.0000)
Zr (0.3206, 0.8206, 0.0000)
Zr (0.6794, 0.1794, 0.0000)
Zr (0.8206, 0.6794, 0.0000)
Ta (0.0000, 0.0000, 0.5000)
Ta (0.5000, 0.5000, 0.5000)
Cd (0.1232, 0.6232, 0.5000)
Cd (0.3768, 0.1232, 0.5000)
Cd (0.6232, 0.8768, 0.5000)
Cd (0.8768, 0.3768, 0.5000)

Results
The formation energy comes out at 316 meV/atom. The crystal system is tetragonal. As for the total magnetization: 0.00 μB per formula unit.

Record 6
Here is crystalline ZrTaCd2 at its relaxed geometry from Alexandria. Energies are from GGA-PBE.

a = 3.4665 Å, b = 3.4665 Å, c = 7.1057 Å
α = 90.00°, β = 90.00°, γ = 90.00°
Element x y z (fractional)
Zr (0.0000, 0.0000, 0.0000)
Ta (0.5000, 0.5000, 0.7836)
Cd (0.0000, 0.0000, 0.5321)
Cd (0.5000, 0.5000, 0.2818)

Results
The formation energy comes out at 228 meV/atom. The crystal system is tetragonal. As for the total magnetization: 0.00 μB per formula unit. The energy above the lowest structure with this stoichiometry is 0.73 eV per formula unit.

| no. | E (eV per atom) |
| --- | --- |
| 1 | -3.28 |
| 2 | -3.51 |
| 3 | -6.21 |
| 4 | -3.47 |
| 5 | -5.84 |
| 6 | -5.33 |